Record 1
## CaDyAlZn (PBE)

Data for CaDyAlZn after structural relaxation.

a b c (Å): 5.1472 5.1472 5.1472
angles (deg): 60.00 60.00 60.00
Closest atoms and distances in Å follow each position.
Fractional coordinates of all 4 atoms:
Al (0.5000, 0.5000, 0.5000)  4 Ca 3.15, 4 Dy 3.15
Ca (0.2500, 0.2500, 0.2500)  4 Al 3.15, 4 Zn 3.15
Zn (0.0000, 0.0000, 0.0000)  4 Dy 3.15, 4 Ca 3.15
Dy (0.7500, 0.7500, 0.7500)  4 Zn 3.15, 4 Al 3.15

## Properties
* polymorph energy (0 for the lowest one): 4 meV/atom
* M_tot: 0.0 μB per formula unit
* ΔH_f (0 K): -0.2931 eV per atom



Record 2
## CaDyAlZn (PBE)

Data for CaDyAlZn after structural relaxation.

a b c (Å): 3.5847 3.5847 7.5122
angles (deg): 90.00 90.00 90.00
Closest atoms and distances in Å follow each position.
Fractional coordinates of all 4 atoms:
Dy (0.0000, 0.0000, 0.3620)  4 Zn 3.08, 4 Al 3.12
Ca (0.0000, 0.0000, 0.8524)  4 Zn 3.19, 4 Al 3.23
Al (0.5000, 0.5000, 0.1192)  4 Dy 3.12, 4 Ca 3.23
Zn (0.5000, 0.5000, 0.5944)  4 Dy 3.08, 4 Ca 3.19

## Properties
* polymorph energy (0 for the lowest one): 0 meV/atom
* M_tot: 0.0 μB per formula unit
* ΔH_f (0 K): -0.2968 eV per atom



Record 3
## CaEr4Al5 (PBE)

Data for CaEr4Al5 after structural relaxation.

a b c (Å): 3.5640 3.5640 18.2718
angles (deg): 90.00 90.00 90.00
Closest atoms and distances in Å follow each position.
Fractional coordinates of all 10 atoms:
Al (0.5000, 0.5000, 0.1077)  4 Er 3.09, 4 Ca 3.20
Al (0.5000, 0.5000, 0.3040)  8 Er 3.10
Al (0.5000, 0.5000, 0.8923)  4 Er 3.09, 4 Ca 3.20
Al (0.5000, 0.5000, 0.5000)  8 Er 3.09
Al (0.5000, 0.5000, 0.6960)  8 Er 3.10
Er (0.0000, 0.0000, 0.4025)  8 Al 3.09-3.10
Er (0.0000, 0.0000, 0.5975)  8 Al 3.09-3.10
Er (0.0000, 0.0000, 0.7943)  8 Al 3.09-3.10
Er (0.0000, 0.0000, 0.2057)  8 Al 3.09-3.10
Ca (0.0000, 0.0000, 0.0000)  8 Al 3.20, 4 Ca 3.56

## Properties
* M_tot: 0.0 μB per formula unit
* ΔH_f (0 K): -0.3512 eV per atom